[1]
{
  "formula": "CaAu",
  "functional": "PBE",
  "state": "optimized geometry",
  "lattice": [[8.2503, 0.0000, 0.0000], [0.0000, 8.2503, 0.0000], [0.0000, 0.0000, 8.2503]],
  "species": ["Au", "Ca", "Ca", "Ca", "Au", "Ca", "Ca", "Au", "Ca", "Au", "Au", "Au"],
  "fractional_positions": [[0.2500, 0.5000, 0.0000], [0.2500, 0.0000, 0.5000], [0.7500, 0.0000, 0.5000], [0.5000, 0.7500, 0.0000], [0.0000, 0.7500, 0.5000], [0.0000, 0.5000, 0.7500], [0.0000, 0.5000, 0.2500], [0.5000, 0.0000, 0.7500], [0.5000, 0.2500, 0.0000], [0.7500, 0.5000, 0.0000], [0.0000, 0.2500, 0.5000], [0.5000, 0.0000, 0.2500]],
  "ef_ev_per_fu": -0.40,
  "spacegroup": "Pm-3n, No. 223"
}

=====

[2]
{
  "formula": "HfScPd4",
  "functional": "PBE",
  "state": "optimized geometry",
  "lattice": [[-3.9067, 0.1442, -2.8101], [-3.5615, -6.7138, 4.6068], [-2.3831, 3.1499, 2.7481]],
  "species": ["Pd", "Hf", "Pd", "Sc", "Pd", "Pd", "Sc", "Pd", "Pd", "Pd", "Pd", "Hf"],
  "fractional_positions": [[0.4999, 0.6600, 0.5000], [0.0000, 0.0000, 0.0000], [0.0000, 0.6618, 0.0000], [0.5000, 0.0000, 0.5000], [0.9999, 0.8400, 0.5000], [0.5001, 0.3400, 0.5000], [0.0000, 0.5000, 0.5000], [0.0001, 0.1600, 0.5000], [0.5000, 0.8382, 0.0000], [0.0000, 0.3382, 0.0000], [0.5000, 0.1618, 0.0000], [0.5000, 0.5000, 0.0000]],
  "ef_ev_per_fu": -4.78,
  "spacegroup": "C2/m, No. 12"
}

=====

[3]
{
  "formula": "Cs2NaInBr5",
  "functional": "PBE",
  "state": "optimized geometry",
  "lattice": [[-2.6947, 1.3875, -4.2247], [9.5982, -2.1905, -3.6421], [-3.7728, -13.2806, -1.9554]],
  "species": ["Br", "Na", "Cs", "Cs", "In", "Br", "Br", "Br", "Br", "Na", "Br", "Br", "In", "Cs", "Br", "Cs", "Br", "Br"],
  "fractional_positions": [[0.5087, 0.0174, 0.7910], [0.2169, 0.4337, 0.0310], [0.8731, 0.7461, 0.1845], [0.1244, 0.2488, 0.3204], [0.4247, 0.8493, 0.4632], [0.6901, 0.3802, 0.1412], [0.6459, 0.2918, 0.5060], [0.3074, 0.6147, 0.3667], [0.9435, 0.8871, 0.5201], [0.7831, 0.5663, 0.5310], [0.0565, 0.1129, 0.0201], [0.6926, 0.3853, 0.8667], [0.5753, 0.1507, 0.9632], [0.8756, 0.7512, 0.8204], [0.3541, 0.7082, 0.0060], [0.1269, 0.2539, 0.6845], [0.4913, 0.9826, 0.2910], [0.3099, 0.6198, 0.6412]],
  "spacegroup": "Cmc2_1, No. 36",
  "raw_formation_energy_kj_per_mol_atoms": -131.8
}

=====

[4]
{
  "formula": "CaTbNiIr",
  "functional": "PBE",
  "state": "optimized geometry",
  "lattice": [[4.8246, 0.0000, 0.0000], [2.4123, 4.1782, 0.0000], [2.4123, 1.3927, 3.9392]],
  "species": ["Ni", "Ca", "Ir", "Tb"],
  "fractional_positions": [[0.0000, 0.0000, 0.0000], [0.2500, 0.2500, 0.2500], [0.5000, 0.5000, 0.5000], [0.7500, 0.7500, 0.7500]],
  "ef_ev_per_fu": -1.52,
  "spacegroup": "F-43m, No. 216"
}

=====

[5]
{
  "formula": "LaTaSb2",
  "functional": "PBE",
  "state": "optimized geometry",
  "lattice": [[-3.1531, -1.8758, -0.7452], [1.4352, -1.1090, -3.2809], [2.8629, -6.1336, 3.3256]],
  "species": ["Sb", "Ta", "Sb", "La"],
  "fractional_positions": [[0.0000, 0.0000, 0.0266], [0.0000, 0.0000, 0.4261], [0.5000, 0.5000, 0.3010], [0.5000, 0.5000, 0.7463]],
  "spacegroup": "P4mm, No. 99",
  "raw_formation_energy_kj_per_mol_atoms": -9.6
}

=====

[6]
{
  "formula": "Ta2NiRu2",
  "functional": "PBE",
  "state": "optimized geometry",
  "lattice": [[-1.9324, -1.0423, -3.5779], [-3.0369, -1.8954, 2.1924], [-5.2168, 3.0822, -0.5429]],
  "species": ["Ru", "Ta", "Ta", "Ru", "Ni"],
  "fractional_positions": [[0.6152, 0.6152, 0.7697], [0.2500, 0.7500, 0.5000], [0.7500, 0.2500, 0.5000], [0.3848, 0.3848, 0.2303], [0.0000, 0.0000, 0.0000]],
  "ef_ev_per_fu": 2.13,
  "spacegroup": "I4/mmm, No. 139"
}

=====

no.,raw total energy (eV/atom)
1,-2.841
2,-6.972
3,-2.936
4,-5.698
5,-6.356
6,-9.182